Material: AgHgI2
Method: DFT, PBE-GGA
State: relaxed

Properties
Electronic total energy, eV per cell: -14.3
Excess energy over the best structure of this formula in the dataset, eV per atom: 0.0063
Total magnetic moment, μB per cell: 0.00

Unit cell a=4.519 b=7.219 c=10.215 alpha=75.95 beta=89.01 gamma=77.02
Space group P1 (No. 1)
Inequivalent atoms, fractional coordinates:
1 Ag 0.000 0.000 0.000 (multiplicity 1)
2 Ag 0.332 0.566 0.085 (multiplicity 1)
3 Hg 0.551 0.852 0.418 (multiplicity 1)
4 Hg 0.678 0.022 0.609 (multiplicity 1)
5 I 0.032 0.223 0.721 (multiplicity 1)
6 I 0.226 0.588 0.356 (multiplicity 1)
7 I 0.442 0.133 0.131 (multiplicity 1)
8 I 0.789 0.687 0.916 (multiplicity 1)

Material: ZnWAu2
Method: DFT, PBE-GGA
State: relaxed

Properties
Electronic total energy, eV per cell: -19.6
DFT formation energy, eV per atom: 0.30
DOS(E_F), states/eV/atom: 0.5854
Total magnetic moment, μB per cell: 0.00

Unit cell a=2.795 b=4.099 c=5.797 alpha=90.00 beta=90.21 gamma=90.00
Space group P2/m (No. 10)
Inequivalent atoms, fractional coordinates:
1 Zn 0.000 0.000 0.000 (multiplicity 1)
2 W 0.000 0.000 0.500 (multiplicity 1)
3 Au 0.496 0.500 0.252 (multiplicity 2)